Below is a geometry-optimized Mg3Al8FeSi10O36 structure, with properties calculated at the PBE with a Hubbard U level.

Unit cell a=9.961 b=9.961 c=9.426 alpha=90.04 beta=90.04 gamma=120.68
Fractional positions:
Mg: 0.000 0.000 0.000
Mg: 0.000 0.000 0.500
Mg: 0.675 0.325 0.000
Al: 0.080 0.304 0.249
Al: 0.334 0.161 0.500
Al: 0.338 0.163 0.000
Al: 0.595 0.020 0.249
Al: 0.696 0.920 0.751
Al: 0.837 0.662 0.000
Al: 0.839 0.666 0.500
Al: 0.980 0.405 0.751
Fe: 0.674 0.326 0.500
Si: 0.066 0.775 0.751
Si: 0.225 0.934 0.249
Si: 0.236 0.291 0.750
Si: 0.437 0.033 0.751
Si: 0.450 0.393 0.249
Si: 0.607 0.550 0.751
Si: 0.709 0.764 0.250
Si: 0.837 0.163 0.000
Si: 0.839 0.161 0.500
Si: 0.967 0.563 0.249
O: 0.027 0.598 0.750
O: 0.044 0.456 0.250
O: 0.098 0.748 0.245
O: 0.134 0.372 0.752
O: 0.191 0.011 0.391
O: 0.194 0.014 0.108
O: 0.199 0.179 0.608
O: 0.201 0.179 0.892
O: 0.252 0.902 0.755
O: 0.274 0.359 0.247
O: 0.402 0.973 0.250
O: 0.423 0.418 0.749
O: 0.467 0.139 0.608
O: 0.474 0.146 0.892
O: 0.476 0.313 0.393
O: 0.482 0.313 0.109
O: 0.544 0.956 0.750
O: 0.582 0.577 0.251
O: 0.628 0.866 0.248
O: 0.641 0.726 0.753
O: 0.687 0.518 0.891
O: 0.687 0.524 0.607
O: 0.691 0.137 0.402
O: 0.692 0.141 0.099
O: 0.816 0.016 0.901
O: 0.818 0.016 0.600
O: 0.821 0.799 0.108
O: 0.821 0.801 0.392
O: 0.854 0.526 0.108
O: 0.859 0.308 0.901
O: 0.861 0.533 0.392
O: 0.863 0.309 0.598
O: 0.984 0.182 0.400
O: 0.984 0.184 0.099
O: 0.986 0.806 0.892
O: 0.989 0.809 0.609

## Properties
* energy: -7.560 eV per atom
* symmetry: C2